1.
InRe2Rh (PBE, optimized geometry); formation energy = 0.436 eV/atom; symmetry = Cmmm (65)
1.0
5.254 0.000 0.000
0.000 8.676 0.000
0.000 0.000 2.816
In Re Rh
2 4 2
Cartesian
0.000 0.000 0.000
2.627 4.338 0.000
1.314 2.169 1.408
1.314 6.507 1.408
3.941 2.169 1.408
3.941 6.507 1.408
0.000 4.338 0.000
2.627 0.000 0.000

2.
InReRh2 (PBE, optimized geometry); formation energy = -0.176 eV/atom; symmetry = P4/mmm (123)
1.0
2.845 0.000 0.000
0.000 2.845 0.000
0.000 0.000 7.739
In Re Rh
1 1 2
Cartesian
0.000 0.000 0.000
0.000 0.000 3.869
1.422 1.422 2.069
1.422 1.422 5.670

3.
InReRh2 (PBE, optimized geometry); formation energy = 0.007 eV/atom; symmetry = Cm (8)
1.0
9.291 0.000 0.000
0.000 2.843 0.000
-0.852 0.000 4.764
In Re Rh
2 2 4
Cartesian
0.000 0.000 0.000
4.645 1.421 0.000
1.659 0.000 3.235
6.305 1.421 3.235
-0.417 1.421 2.408
2.161 1.421 0.987
4.229 0.000 2.408
6.807 0.000 0.987

no.,uncorrected energy (eV per atom)
1,-8.31
2,-7.65
3,-7.47